Entry 1:
VASP calculation (meta-GGA SCAN) on a PBEsol-optimized structure of Cs3CCl.

a b c (Å): 6.4612 6.4612 6.4612
angles (deg): 90.00 90.00 90.00
Last column: magnetic moment on the atom in μB.
Positions (direct):
Cs: 0.0000 0.5000 0.0000  0.00
Cs: 0.0000 0.0000 0.5000  0.00
Cs: 0.5000 0.0000 0.0000  0.00
C: 0.5000 0.5000 0.5000  1.03
Cl: 0.0000 0.0000 0.0000  0.00

## Properties
energy relative to the elements, uncorrected	1.09	eV/f.u.
D(E_F)	0.3117	states/eV/atom

=====

Entry 2:
VASP calculation (meta-GGA SCAN) on a PBEsol-optimized structure of Co2SiIr.

a b c (Å): 2.6185 3.6540 4.9252
angles (deg): 90.00 101.69 90.00
Last column: magnetic moment on the atom in μB.
Positions (direct):
Co: 0.8911 0.0000 0.7351  1.25
Co: 0.1089 0.0000 0.2649  1.25
Ir: 0.5000 0.5000 0.0000  0.21
Si: 0.5000 0.5000 0.5000  -0.06

## Properties
energy relative to the elements, uncorrected	-0.52	eV/f.u.
D(E_F)	0.9559	states/eV/atom

=====

Entry 3:
VASP calculation (meta-GGA SCAN) on a PBEsol-optimized structure of HfAl2Rh.

a b c (Å): 3.7976 3.7976 10.0623
angles (deg): 100.88 100.88 90.00
Positions (direct):
Rh: 0.7500 0.2500 0.5000
Rh: 0.5000 0.5000 0.0000
Hf: 0.2500 0.7500 0.5000
Hf: 0.0000 0.0000 0.0000
Al: 0.3826 0.8750 0.2500
Al: 0.8674 0.3750 0.2500
Al: 0.1250 0.1326 0.7500
Al: 0.6250 0.6174 0.7500

## Properties
D(E_F)	0.3912	states/eV/atom
formation energy from the elements	-6.7	kcal/mol of atoms